{
  "formula": "CrMoBr",
  "functional": "PBE-GGA",
  "state": "relaxed",
  "rho_g_cm3": 5.758,
  "n_ef_per_ev_cell": 4.15,
  "crystal_system": "triclinic",
  "raw_formation_energy_kcal_per_mol_atoms": 3.2,
  "cell": [[3.230, 0.111, -0.020], [-0.148, 4.312, 0.068], [-1.566, -1.528, 9.412]],
  "species": ["Br", "Br", "Mo", "Mo", "Cr", "Cr"],
  "frac_coords": [[0.803, 0.808, 0.471], [0.136, 0.207, 0.115], [0.021, 0.787, 0.890], [0.519, 0.312, 0.886], [0.908, 0.243, 0.672], [0.411, 0.727, 0.679]]
}